Material: Pm8C3NCl3
Method: DFT, PBE
State: optimized geometry

Unit cell a=7.4971 b=7.4971 c=20.5465 alpha=90.00 beta=90.00 gamma=120.00
Closest atoms and distances in Å follow each position.
Space group R-3m (No. 166, hexagonal axes)
Unique sites:
1 Pm 0.0000 0.0000 0.2324 (multiplicity 6)  3 C 2.55
2 Pm 0.0021 0.5011 0.7674 (multiplicity 18)  2 C 2.55, 1 N 2.57
3 C 0.0000 0.5000 0.5000 (multiplicity 9)  6 Pm 2.55
4 N 0.0000 0.0000 0.5000 (multiplicity 3)  6 Pm 2.57
5 Cl 0.0000 0.5000 0.0000 (multiplicity 9)  6 Pm 3.00

Values from the calculation:
Formation energy (no corrections): -1.001 eV per atom
Mass density: 6.56 g/cm³
Crystal system: trigonal
Total moment: 0.00 μB/cell
Electronic total energy: -6.304 eV per atom